[1]
Material: FeCl2
Method: DFT, GGA-PBE
State: relaxed

E_form (uncorrected) ... -1.73 eV/f.u.
Total magnetization ... 16.036 μB/cell
Energy ... -4.629 eV/atom

Lattice parameters (Å, degrees): 14.012 3.330 7.744 90.00 111.62 90.00
Space group C2/m (No. 12)
Unique sites:
Fe: 0.022 0.000 0.181 [4 per cell]
Cl: 0.089 0.500 0.789 [4 per cell]
Cl: 0.150 0.500 0.260 [4 per cell]

---

[2]
Material: Fe3Cl
Method: DFT, GGA-PBE
State: relaxed

E_form (uncorrected) ... 1.03 eV/f.u.
Total magnetization ... 32.619 μB/cell
Energy ... -6.550 eV/atom
Polymorph energy (0 for the lowest one) ... 2.432 kcal/mol of atoms

Lattice parameters (Å, degrees): 8.376 9.416 3.040 90.00 90.00 90.00
Space group Cmcm (No. 63)
Unique sites:
Fe: 0.000 0.109 0.250 [4 per cell]
Fe: 0.231 0.102 0.750 [8 per cell]
Cl: 0.000 0.350 0.250 [4 per cell]

---

[3]
Material: FeCl
Method: DFT, GGA-PBE
State: relaxed

E_form (uncorrected) ... 0.52 eV/f.u.
Total magnetization ... 18.029 μB/cell
Energy ... -4.895 eV/atom

Lattice parameters (Å, degrees): 6.553 6.553 6.553 90.00 90.00 90.00
Space group Pm-3n (No. 223)
Unique sites:
Fe: 0.000 0.250 0.500 [6 per cell]
Cl: 0.000 0.500 0.250 [6 per cell]

---

[4]
Material: Fe5Cl
Method: DFT, GGA-PBE
State: relaxed

E_form (uncorrected) ... 3.78 eV/f.u.
Total magnetization ... 52.439 μB/cell
Energy ... -6.730 eV/atom
Polymorph energy (0 for the lowest one) ... 6.921 kcal/mol of atoms

Lattice parameters (Å, degrees): 6.891 6.891 6.891 90.00 90.00 90.00
Space group F-43m (No. 216)
Unique sites:
Fe: 0.000 0.000 0.000 [4 per cell]
Fe: 0.126 0.126 0.626 [16 per cell]
Cl: 0.250 0.250 0.250 [4 per cell]

---

[5]
Material: FeCl
Method: DFT, GGA-PBE
State: relaxed

E_form (uncorrected) ... -0.40 eV/f.u.
Total magnetization ... 6.012 μB/cell
Energy ... -5.353 eV/atom

Lattice parameters (Å, degrees): 3.529 3.569 6.348 90.00 90.00 90.00
Space group Pmmn (No. 59, origin choice 2)
Unique sites:
Fe: 0.250 0.250 0.001 [2 per cell]
Cl: 0.250 0.750 0.261 [2 per cell]

---

[6]
Material: Fe2Cl
Method: DFT, GGA-PBE
State: relaxed

E_form (uncorrected) ... 0.00 eV/f.u.
Total magnetization ... 23.063 μB/cell
Energy ... -6.256 eV/atom
Polymorph energy (0 for the lowest one) ... 1.059 kcal/mol of atoms

Lattice parameters (Å, degrees): 8.632 3.042 9.214 90.00 117.39 90.00
Space group Cm (No. 8)
Unique sites:
Fe: 0.000 0.000 0.000 [2 per cell]
Fe: 0.011 0.000 0.699 [2 per cell]
Fe: 0.187 0.500 0.922 [2 per cell]
Fe: 0.324 0.000 0.775 [2 per cell]
Cl: 0.106 0.500 0.537 [2 per cell]
Cl: 0.203 0.500 0.193 [2 per cell]

---

[7]
Material: Fe3Cl
Method: DFT, GGA-PBE
State: relaxed

E_form (uncorrected) ... 2.57 eV/f.u.
Total magnetization ... 17.832 μB/cell
Energy ... -6.165 eV/atom
Polymorph energy (0 for the lowest one) ... 11.313 kcal/mol of atoms

Lattice parameters (Å, degrees): 3.566 3.566 8.643 90.00 90.00 90.00
Space group I4/mmm (No. 139)
Unique sites:
Fe: 0.000 0.000 0.000 [2 per cell]
Fe: 0.000 0.500 0.250 [4 per cell]
Cl: 0.000 0.000 0.500 [2 per cell]

---

[8]
Material: Fe3Cl
Method: DFT, GGA-PBE
State: relaxed

E_form (uncorrected) ... 2.45 eV/f.u.
Total magnetization ... 35.495 μB/cell
Energy ... -6.197 eV/atom
Polymorph energy (0 for the lowest one) ... 10.586 kcal/mol of atoms

Lattice parameters (Å, degrees): 5.5337 5.5337 8.5710 90.00 90.00 120.00
Space group P6_3/mmc (No. 194)
Unique sites:
Fe: 0.0000 0.5000 0.0000 [6 per cell]
Fe: 0.1885 0.3770 0.2500 [6 per cell]
Cl: 0.0000 0.0000 0.0000 [2 per cell]
Cl: 0.3333 0.6667 0.7500 [2 per cell]

---

[9]
Material: FeCl
Method: DFT, GGA-PBE
State: relaxed

E_form (uncorrected) ... -0.07 eV/f.u.
Total magnetization ... 12.731 μB/cell
Energy ... -5.190 eV/atom

Lattice parameters (Å, degrees): 6.852 3.051 7.499 90.00 90.00 90.00
Space group Pnma (No. 62)
Unique sites:
Fe: 0.027 0.250 0.122 [4 per cell]
Cl: 0.188 0.250 0.687 [4 per cell]

---

[10]
Material: FeCl
Method: DFT, GGA-PBE
State: relaxed

E_form (uncorrected) ... 0.46 eV/f.u.
Total magnetization ... 3.024 μB/cell
Energy ... -4.924 eV/atom

Lattice parameters (Å, degrees): 3.1367 3.1367 3.6544 90.00 90.00 120.00
Space group P-6m2 (No. 187)
Unique sites:
Fe: 0.0000 0.0000 0.0000 [1 per cell]
Cl: 0.3333 0.6667 0.5000 [1 per cell]

---

[11]
Material: Fe2Cl
Method: DFT, GGA-PBE
State: relaxed

E_form (uncorrected) ... 1.10 eV/f.u.
Total magnetization ... 11.904 μB/cell
Energy ... -5.891 eV/atom
Polymorph energy (0 for the lowest one) ... 9.470 kcal/mol of atoms

Lattice parameters (Å, degrees): 2.936 2.936 10.627 90.00 90.00 90.00
Space group I4/mmm (No. 139)
Unique sites:
Fe: 0.000 0.000 0.184 [4 per cell]
Cl: 0.000 0.000 0.500 [2 per cell]

---

[12]
Material: FeCl2
Method: DFT, GGA-PBE
State: relaxed

E_form (uncorrected) ... -2.08 eV/f.u.
Total magnetization ... 16.000 μB/cell
Energy ... -4.745 eV/atom

Lattice parameters (Å, degrees): 13.178 3.337 9.693 90.00 131.33 90.00
Space group C2/m (No. 12)
Unique sites:
Fe: 0.202 0.000 0.346 [4 per cell]
Cl: 0.075 0.500 0.367 [4 per cell]
Cl: 0.215 0.500 0.186 [4 per cell]

---

The lowest E_form (uncorrected) belongs to which entry?
number 12